A plane-wave DFT calculation with PBE was carried out for TaRe2As4 after structural relaxation.

* calculated volume: 513.7 Å³ per cell
* magnetic moment: 0.0 μB/cell
* Fermi-level density of states: 3.4 states/eV/f.u.
* E_tot: -8.006 eV/atom

a b c (Å): 7.1761 11.4774 7.1543
angles (deg): 90.00 119.32 90.00
Space group Cc (No. 9)
Inequivalent atoms, fractional coordinates:
1 Ta 0.0000 0.1269 0.0000
2 Re 0.4194 0.1337 0.3934
3 Re 0.4928 0.3793 0.8991
4 As 0.1201 0.2906 0.2849
5 As 0.1515 0.2436 0.7614
6 As 0.2966 0.4661 0.0925
7 As 0.3285 0.0114 0.0791

A plane-wave DFT calculation with PBE was carried out for Rb2GaTe4Pb after structural relaxation.

* calculated volume: 608.9 Å³ per cell
* magnetic moment: 0.0 μB/cell
* Fermi-level density of states: 3.7 states/eV/f.u.
* E_tot: -3.261 eV/atom

a b c (Å): 9.0040 9.0040 7.5109
angles (deg): 90.00 90.00 90.00
Space group I-42m (No. 121)
Inequivalent atoms, fractional coordinates:
1 Rb 0.0000 0.5000 0.0000
2 Ga 0.0000 0.0000 0.0000
3 Te 0.1703 0.1703 0.7849
4 Pb 0.0000 0.0000 0.5000

A plane-wave DFT calculation with PBE was carried out for BaHg2Br after structural relaxation.

* calculated volume: 598.9 Å³ per cell
* magnetic moment: 0.0 μB/cell
* offset from the most stable computed form: 0.1145 eV per atom
* Fermi-level density of states: 1.8 states/eV/f.u.

a b c (Å): 9.6847 9.6847 6.3850
angles (deg): 90.00 90.00 90.00
Space group I-42d (No. 122)
Inequivalent atoms, fractional coordinates:
1 Ba 0.0000 0.0000 0.0000
2 Hg 0.2452 0.2500 0.6250
3 Br 0.0000 0.0000 0.5000

A plane-wave DFT calculation with PBE was carried out for RbPr2Br8 after structural relaxation.

* calculated volume: 960.0 Å³ per cell
* magnetic moment: 2.2 μB/cell
* offset from the most stable computed form: 0.0695 eV per atom
* Fermi-level density of states: 5.5 states/eV/f.u.

a b c (Å): 12.3331 9.1496 8.6808
angles (deg): 90.00 101.46 90.00
Space group C2/m (No. 12)
Inequivalent atoms, fractional coordinates:
1 Rb 0.0000 0.0000 0.0000
2 Pr 0.1770 0.5000 0.4613
3 Br 0.0552 0.5000 0.7198
4 Br 0.1507 0.1904 0.3339
5 Br 0.2272 0.0000 0.8183

A plane-wave DFT calculation with PBE was carried out for CaPuAl after structural relaxation.

* calculated volume: 160.0 Å³ per cell
* magnetic moment: 12.4 μB/cell
* offset from the most stable computed form: 0.0163 eV per atom
* Fermi-level density of states: 7.5 states/eV/f.u.

a b c (Å): 3.3057 3.3057 14.6376
angles (deg): 90.00 90.00 90.00
Space group I4mm (No. 107)
Inequivalent atoms, fractional coordinates:
1 Ca 0.0000 0.0000 0.0000
2 Pu 0.0000 0.0000 0.2945
3 Al 0.0000 0.0000 0.6526

A plane-wave DFT calculation with PBE was carried out for Li2CaPaCl8 after structural relaxation.

* calculated volume: 360.4 Å³ per cell
* magnetic moment: 1.0 μB/cell
* Fermi-level density of states: 0.6 states/eV/f.u.
* E_tot: -4.480 eV/atom

a b c (Å): 6.6351 6.8947 8.3876
angles (deg): 74.16 89.63 77.87
Space group P-1 (No. 2)
Inequivalent atoms, fractional coordinates:
1 Li 0.0458 0.1354 0.3280
2 Ca 0.5000 0.5000 0.5000
3 Pa 0.5000 0.5000 0.0000
4 Cl 0.1357 0.7739 0.4515
5 Cl 0.1404 0.7587 0.9368
6 Cl 0.3628 0.2856 0.2877
7 Cl 0.3828 0.2893 0.8087